{"formula": "Na3Co2SnO6", "functional": "GGA+U", "state": "optimized geometry", "total_energy_ev_per_atom": -5.41, "m_tot_mub_per_cell": 7.04, "lattice": [[5.417, -0.048, 0.009], [-2.749, 4.668, 0.009], [-0.881, -1.525, 5.436]], "species": ["Na", "Na", "Na", "Co", "Co", "Sn", "O", "O", "O", "O", "O", "O"], "frac_coords": [[0.171, 0.829, 0.500], [0.829, 0.171, 0.500], [0.500, 0.500, 0.500], [0.331, 0.669, 0.000], [0.669, 0.331, 0.000], [0.000, 0.000, 0.000], [0.927, 0.597, 0.796], [0.737, 0.737, 0.207], [0.073, 0.403, 0.204], [0.597, 0.927, 0.796], [0.263, 0.263, 0.793], [0.403, 0.073, 0.204]]}